1.
# NiTeHPt2, relaxed, DFT PBE-GGA
# D(E_F) = 0.91 states/eV/atom
# polymorph energy (0 for the lowest one) = 0 meV per atom
# crystal system = tetragonal
# magnetization = 0.000 μB per formula unit
data_NiTeHPt2
_symmetry_space_group_name_H-M 'P 1'
_symmetry_Int_Tables_number 1
_cell_length_a 4.0054
_cell_length_b 4.3235
_cell_length_c 4.0054
_cell_angle_alpha 90.00
_cell_angle_beta 90.00
_cell_angle_gamma 90.00
loop_
_symmetry_equiv_pos_as_xyz
'x,y,z'
loop_
_atom_site_label
_atom_site_type_symbol
_atom_site_fract_x
_atom_site_fract_y
_atom_site_fract_z
Pt1 Pt 0.5000 0.0000 0.0000
H1 H 0.0000 0.0000 0.0000
Ni1 Ni 0.0000 0.5000 0.0000
Pt2 Pt 0.0000 0.0000 0.5000
Te1 Te 0.5000 0.5000 0.5000

2.
# NiTeHPt2, relaxed, DFT PBE-GGA
# D(E_F) = 1.61 states/eV/atom
# polymorph energy (0 for the lowest one) = 1179 meV per atom
# crystal system = tetragonal
# magnetization = 1.807 μB per formula unit
data_NiTeHPt2
_symmetry_space_group_name_H-M 'P 1'
_symmetry_Int_Tables_number 1
_cell_length_a 5.0160
_cell_length_b 4.7739
_cell_length_c 5.0160
_cell_angle_alpha 90.00
_cell_angle_beta 90.00
_cell_angle_gamma 90.00
loop_
_symmetry_equiv_pos_as_xyz
'x,y,z'
loop_
_atom_site_label
_atom_site_type_symbol
_atom_site_fract_x
_atom_site_fract_y
_atom_site_fract_z
Ni1 Ni 0.0000 0.5000 0.0000
H1 H 0.5000 0.5000 0.5000
Te1 Te 0.0000 0.0000 0.0000
Pt1 Pt 0.5000 0.0000 0.0000
Pt2 Pt 0.0000 0.0000 0.5000

3.
# TiNiHPt2, relaxed, DFT PBE-GGA
# D(E_F) = 0.97 states/eV/atom
# DFT total energy = -6.24 eV/atom
# crystal system = tetragonal
# magnetization = 0.830 μB per formula unit
data_TiNiHPt2
_symmetry_space_group_name_H-M 'P 1'
_symmetry_Int_Tables_number 1
_cell_length_a 3.9716
_cell_length_b 3.9716
_cell_length_c 3.8336
_cell_angle_alpha 90.00
_cell_angle_beta 90.00
_cell_angle_gamma 90.00
loop_
_symmetry_equiv_pos_as_xyz
'x,y,z'
loop_
_atom_site_label
_atom_site_type_symbol
_atom_site_fract_x
_atom_site_fract_y
_atom_site_fract_z
H1 H 0.0000 0.0000 0.0000
Pt1 Pt 0.0000 0.5000 0.0000
Ti1 Ti 0.5000 0.5000 0.5000
Ni1 Ni 0.0000 0.0000 0.5000
Pt2 Pt 0.5000 0.0000 0.0000

4.
# TlNi2HPt, relaxed, DFT PBE-GGA
# D(E_F) = 0.25 states/eV/atom
# DFT total energy = -4.64 eV/atom
# crystal system = tetragonal
# magnetization = 0.000 μB per formula unit
data_TlNi2HPt
_symmetry_space_group_name_H-M 'P 1'
_symmetry_Int_Tables_number 1
_cell_length_a 4.0237
_cell_length_b 4.0237
_cell_length_c 3.8222
_cell_angle_alpha 90.00
_cell_angle_beta 90.00
_cell_angle_gamma 90.00
loop_
_symmetry_equiv_pos_as_xyz
'x,y,z'
loop_
_atom_site_label
_atom_site_type_symbol
_atom_site_fract_x
_atom_site_fract_y
_atom_site_fract_z
Pt1 Pt 0.0000 0.0000 0.5000
H1 H 0.0000 0.0000 0.0000
Ni1 Ni 0.0000 0.5000 0.0000
Ni2 Ni 0.5000 0.0000 0.0000
Tl1 Tl 0.5000 0.5000 0.5000

5.
# TlNiH8Pt2, relaxed, DFT PBE-GGA
# D(E_F) = 0.20 states/eV/atom
# DFT total energy = -3.84 eV/atom
# crystal system = trigonal
# magnetization = 0.000 μB per formula unit
data_TlNiH8Pt2
_symmetry_space_group_name_H-M 'P 1'
_symmetry_Int_Tables_number 1
_cell_length_a 4.6774
_cell_length_b 4.6774
_cell_length_c 7.2147
_cell_angle_alpha 71.09
_cell_angle_beta 71.09
_cell_angle_gamma 60.00
loop_
_symmetry_equiv_pos_as_xyz
'x,y,z'
loop_
_atom_site_label
_atom_site_type_symbol
_atom_site_fract_x
_atom_site_fract_y
_atom_site_fract_z
H1 H 0.2159 0.2159 0.3523
H2 H 0.7442 0.0616 0.8559
Tl1 Tl 0.5000 0.5000 0.5000
H3 H 0.9384 0.6617 0.1441
H4 H 0.3383 0.7442 0.8559
H5 H 0.2558 0.9384 0.1441
H6 H 0.7841 0.7841 0.6477
H7 H 0.6617 0.2558 0.1441
Ni1 Ni 0.0000 0.0000 0.0000
Pt1 Pt 0.7040 0.7040 0.8879
Pt2 Pt 0.2960 0.2960 0.1121
H8 H 0.0616 0.3383 0.8559

6.
# Tm2Ni6HPt, relaxed, DFT PBE-GGA
# D(E_F) = 1.03 states/eV/atom
# DFT total energy = -5.55 eV/atom
# crystal system = trigonal
# magnetization = 0.000 μB per formula unit
data_Tm2Ni6HPt
_symmetry_space_group_name_H-M 'P 1'
_symmetry_Int_Tables_number 1
_cell_length_a 5.8581
_cell_length_b 5.8677
_cell_length_c 5.8697
_cell_angle_alpha 59.93
_cell_angle_beta 59.98
_cell_angle_gamma 89.94
loop_
_symmetry_equiv_pos_as_xyz
'x,y,z'
loop_
_atom_site_label
_atom_site_type_symbol
_atom_site_fract_x
_atom_site_fract_y
_atom_site_fract_z
H1 H 0.0000 0.0000 0.0000
Ni1 Ni 0.2107 0.2107 0.5789
Ni2 Ni 0.2106 0.7899 0.0000
Pt1 Pt 0.5000 0.5000 0.0000
Ni3 Ni 0.7894 0.2101 0.0000
Ni4 Ni 0.2108 0.2105 0.9995
Ni5 Ni 0.7892 0.7895 0.0005
Tm1 Tm 0.7504 0.2501 0.4995
Ni6 Ni 0.7893 0.7893 0.4211
Tm2 Tm 0.2496 0.7499 0.5005

7.
# UNi2H8Pt, relaxed, DFT PBE-GGA
# D(E_F) = 0.52 states/eV/atom
# DFT total energy = -4.66 eV/atom
# crystal system = trigonal
# magnetization = 1.939 μB per formula unit
data_UNi2H8Pt
_symmetry_space_group_name_H-M 'P 1'
_symmetry_Int_Tables_number 1
_cell_length_a 4.5697
_cell_length_b 4.5697
_cell_length_c 6.2302
_cell_angle_alpha 90.00
_cell_angle_beta 90.00
_cell_angle_gamma 120.00
loop_
_symmetry_equiv_pos_as_xyz
'x,y,z'
loop_
_atom_site_label
_atom_site_type_symbol
_atom_site_fract_x
_atom_site_fract_y
_atom_site_fract_z
H1 H 0.6667 0.3333 0.5913
Ni1 Ni 0.3333 0.6667 0.6555
H2 H 0.3353 0.1676 0.1734
H3 H 0.1676 0.3353 0.8266
H4 H 0.8324 0.6647 0.1734
Pt1 Pt 0.0000 0.0000 0.0000
H5 H 0.1676 0.8324 0.8266
H6 H 0.3333 0.6667 0.4087
H7 H 0.8324 0.1676 0.1734
Ni2 Ni 0.6667 0.3333 0.3445
H8 H 0.6647 0.8324 0.8266
U1 U 0.0000 0.0000 0.5000

8.
# NiHPt2W, relaxed, DFT PBE-GGA
# D(E_F) = 1.14 states/eV/atom
# DFT total energy = -5.03 eV/atom
# crystal system = tetragonal
# magnetization = 1.228 μB per formula unit
data_NiHPt2W
_symmetry_space_group_name_H-M 'P 1'
_symmetry_Int_Tables_number 1
_cell_length_a 4.6119
_cell_length_b 4.3759
_cell_length_c 4.6119
_cell_angle_alpha 90.00
_cell_angle_beta 90.00
_cell_angle_gamma 90.00
loop_
_symmetry_equiv_pos_as_xyz
'x,y,z'
loop_
_atom_site_label
_atom_site_type_symbol
_atom_site_fract_x
_atom_site_fract_y
_atom_site_fract_z
W1 W 0.0000 0.5000 0.0000
H1 H 0.5000 0.5000 0.5000
Ni1 Ni 0.0000 0.0000 0.0000
Pt1 Pt 0.0000 0.0000 0.5000
Pt2 Pt 0.5000 0.0000 0.0000

9.
# Ni2HPtW, relaxed, DFT PBE-GGA
# D(E_F) = 1.21 states/eV/atom
# DFT total energy = -6.72 eV/atom
# crystal system = tetragonal
# magnetization = 0.000 μB per formula unit
data_Ni2HPtW
_symmetry_space_group_name_H-M 'P 1'
_symmetry_Int_Tables_number 1
_cell_length_a 3.8271
_cell_length_b 3.8271
_cell_length_c 3.8157
_cell_angle_alpha 90.00
_cell_angle_beta 90.00
_cell_angle_gamma 90.00
loop_
_symmetry_equiv_pos_as_xyz
'x,y,z'
loop_
_atom_site_label
_atom_site_type_symbol
_atom_site_fract_x
_atom_site_fract_y
_atom_site_fract_z
W1 W 0.0000 0.0000 0.5000
H1 H 0.0000 0.0000 0.0000
Pt1 Pt 0.5000 0.5000 0.5000
Ni1 Ni 0.5000 0.0000 0.0000
Ni2 Ni 0.0000 0.5000 0.0000

10.
# YNiHPt2, relaxed, DFT PBE-GGA
# D(E_F) = 0.16 states/eV/atom
# DFT total energy = -6.13 eV/atom
# crystal system = tetragonal
# magnetization = 0.000 μB per formula unit
data_YNiHPt2
_symmetry_space_group_name_H-M 'P 1'
_symmetry_Int_Tables_number 1
_cell_length_a 4.1139
_cell_length_b 4.1139
_cell_length_c 4.0889
_cell_angle_alpha 90.00
_cell_angle_beta 90.00
_cell_angle_gamma 90.00
loop_
_symmetry_equiv_pos_as_xyz
'x,y,z'
loop_
_atom_site_label
_atom_site_type_symbol
_atom_site_fract_x
_atom_site_fract_y
_atom_site_fract_z
Ni1 Ni 0.0000 0.0000 0.5000
H1 H 0.0000 0.0000 0.0000
Pt1 Pt 0.0000 0.5000 0.0000
Y1 Y 0.5000 0.5000 0.5000
Pt2 Pt 0.5000 0.0000 0.0000

11.
# Y2Ni6HPt, relaxed, DFT PBE-GGA
# D(E_F) = 0.86 states/eV/atom
# DFT total energy = -6.10 eV/atom
# crystal system = trigonal
# magnetization = 0.000 μB per formula unit
data_Y2Ni6HPt
_symmetry_space_group_name_H-M 'P 1'
_symmetry_Int_Tables_number 1
_cell_length_a 5.1780
_cell_length_b 6.6990
_cell_length_c 6.6993
_cell_angle_alpha 45.49
_cell_angle_beta 67.26
_cell_angle_gamma 90.02
loop_
_symmetry_equiv_pos_as_xyz
'x,y,z'
loop_
_atom_site_label
_atom_site_type_symbol
_atom_site_fract_x
_atom_site_fract_y
_atom_site_fract_z
Ni1 Ni 0.7758 0.7113 0.4475
Ni2 Ni 0.2243 0.7767 0.0646
H1 H 0.0000 0.0000 0.0000
Pt1 Pt 0.5000 0.5000 0.0000
Ni3 Ni 0.7127 0.7765 0.0640
Y1 Y 0.2179 0.7816 0.5636
Y2 Y 0.7821 0.2184 0.4364
Ni4 Ni 0.7757 0.2233 0.9354
Ni5 Ni 0.2242 0.2887 0.5525
Ni6 Ni 0.2873 0.2235 0.9361

12.
# ZnNiHPt2, relaxed, DFT PBE-GGA
# D(E_F) = 0.88 states/eV/atom
# polymorph energy (0 for the lowest one) = 0 meV per atom
# crystal system = tetragonal
# magnetization = 0.603 μB per formula unit
data_ZnNiHPt2
_symmetry_space_group_name_H-M 'P 1'
_symmetry_Int_Tables_number 1
_cell_length_a 4.0000
_cell_length_b 4.0000
_cell_length_c 3.6858
_cell_angle_alpha 90.00
_cell_angle_beta 90.00
_cell_angle_gamma 90.00
loop_
_symmetry_equiv_pos_as_xyz
'x,y,z'
loop_
_atom_site_label
_atom_site_type_symbol
_atom_site_fract_x
_atom_site_fract_y
_atom_site_fract_z
Zn1 Zn 0.5000 0.5000 0.5000
Pt1 Pt 0.5000 0.0000 0.0000
H1 H 0.0000 0.0000 0.0000
Pt2 Pt 0.0000 0.5000 0.0000
Ni1 Ni 0.0000 0.0000 0.5000